No. 1
Crystalline Na2SbTeSe4 at its relaxed geometry, computed with PBE.

Cell and atoms, written as extended XYZ:
```
16
Lattice="8.320 0.022 0.244 0.016 8.320 0.244 -3.985 -3.988 6.070" Properties=species:S:1:pos:R:3 pbc="T T T"
Sb 0.008 4.160 0.122
Sb 6.335 2.187 3.401
Se 0.179 0.251 3.316
Se -1.991 2.313 6.088
Se 6.341 2.040 0.471
Se -2.061 -1.991 6.033
Se 4.171 4.102 3.243
Se 0.155 4.153 3.053
Se 4.195 0.199 3.506
Se 6.411 6.343 0.525
Na 4.160 0.011 0.122
Na -1.993 -1.994 3.035
Na 4.168 4.171 0.244
Na 2.167 -1.983 3.157
Te 4.334 -3.967 6.314
Te 2.175 2.176 3.279
```

Computed properties:
* calculated volume: 27.27 A^3/atom
* E_tot: -55.69 eV/cell
* formation energy without anion corrections: -386.5 kJ/mol of formula units
* magnetization: 0.0 μB/f.u.

=====

No. 2
Crystalline Na2TiSb2Se6 at its relaxed geometry, computed with PBE.

Cell and atoms, written as extended XYZ:
```
11
Lattice="-0.631 -4.362 -5.334 2.127 -2.452 6.111 -7.223 1.160 1.547" Properties=species:S:1:pos:R:3 pbc="T T T"
Se -5.259 -1.040 -0.475
Se -0.469 -4.614 2.798
Se -3.991 -4.467 1.707
Se -1.319 -5.202 -0.730
Se -4.408 -0.452 3.053
Se -1.736 -1.187 0.616
Na -0.150 -4.028 -3.336
Na 1.645 -2.786 4.112
Sb -3.331 -3.151 -0.779
Sb -2.396 -2.503 3.103
Ti -3.611 0.580 0.774
```

Computed properties:
* calculated volume: 26.82 A^3/atom
* E_tot: -48.11 eV/cell
* formation energy without anion corrections: -813.1 kJ/mol of formula units
* magnetization: 0.1 μB/f.u.

=====

No. 3
Crystalline NaTlSbSe3 at its relaxed geometry, computed with PBE.

Cell and atoms, written as extended XYZ:
```
12
Lattice="4.184 0.000 0.000 0.000 10.379 2.118 0.000 -1.542 7.216" Properties=species:S:1:pos:R:3 pbc="T T T"
Se 1.046 7.959 4.642
Se 3.138 0.878 4.693
Se 3.138 7.128 8.471
Se 1.046 1.710 0.864
Se 1.046 3.917 6.621
Se 3.138 4.921 2.713
Na 1.046 9.197 7.501
Na 3.138 -0.359 1.833
Tl 3.138 6.016 5.611
Tl 1.046 2.822 3.723
Sb 1.046 6.885 2.091
Sb 3.138 1.952 7.244
```

Computed properties:
* calculated volume: 27.25 A^3/atom
* E_tot: -42.27 eV/cell
* formation energy without anion corrections: -277.5 kJ/mol of formula units
* magnetization: 0.0 μB/f.u.

=====

No. 4
Crystalline Na2TlSbSe4 at its relaxed geometry, computed with PBE.

Cell and atoms, written as extended XYZ:
```
8
Lattice="-1.904 1.862 -5.214 -4.433 -3.816 0.259 -0.233 5.113 5.197" Properties=species:S:1:pos:R:3 pbc="T T T"
Se -1.043 1.041 -2.534
Se -1.767 2.149 1.413
Se -4.803 1.010 -1.171
Se -4.263 4.957 0.040
Na -3.917 0.160 1.489
Na 0.000 0.000 0.000
Sb -2.653 2.999 -1.247
Tl -3.401 4.136 2.719
```

Computed properties:
* calculated volume: 25.73 A^3/atom
* E_tot: -27.54 eV/cell
* formation energy without anion corrections: -431.4 kJ/mol of formula units
* magnetization: 0.0 μB/f.u.

=====

No. 5
Crystalline Na3TmSb3Se8 at its relaxed geometry, computed with PBE.

Cell and atoms, written as extended XYZ:
```
15
Lattice="8.179 0.000 0.000 -4.090 7.088 -0.028 0.000 -4.700 7.210" Properties=species:S:1:pos:R:3 pbc="T T T"
Sb 4.090 -2.350 3.605
Sb -2.045 1.194 3.591
Sb 2.045 1.194 3.591
Na 0.000 0.000 0.000
Na -2.045 3.544 -0.014
Na 2.045 3.544 -0.014
Tm 0.000 -2.350 3.605
Se 0.000 -0.003 5.203
Se 0.000 2.370 1.922
Se 4.090 0.018 5.260
Se 2.063 3.575 5.187
Se 4.090 2.391 1.979
Se 6.153 -1.187 1.995
Se -2.063 3.575 5.187
Se 2.027 -1.187 1.995
```

Computed properties:
* calculated volume: 27.80 A^3/atom
* E_tot: -60.60 eV/cell
* formation energy without anion corrections: -1151.3 kJ/mol of formula units
* magnetization: 0.0 μB/f.u.

=====

No. 6
Crystalline Na2USbSe5 at its relaxed geometry, computed with PBE.

Cell and atoms, written as extended XYZ:
```
18
Lattice="4.254 0.000 0.000 -2.127 8.713 0.000 0.000 0.000 14.252" Properties=species:S:1:pos:R:3 pbc="T T T"
Se 0.000 1.361 0.926
Se 2.127 4.226 2.339
Se 2.127 7.352 8.052
Se 0.000 5.109 5.818
Se 0.000 4.487 9.465
Se 2.127 2.054 7.012
Se 0.000 8.677 10.867
Se 0.000 6.659 14.138
Se 2.127 3.604 12.944
Se 2.127 0.036 3.741
Sb 0.000 7.901 6.179
Sb 2.127 0.812 13.305
Na 2.127 7.249 2.192
Na 2.127 6.544 11.501
Na 0.000 1.464 9.318
Na 0.000 2.169 4.375
U 2.127 4.632 7.666
U 0.000 4.081 0.540
```

Computed properties:
* calculated volume: 29.35 A^3/atom
* E_tot: -85.71 eV/cell
* formation energy without anion corrections: -712.6 kJ/mol of formula units
* magnetization: 1.0 μB/f.u.

=====

No. 7
Crystalline Na3U3SbSe8 at its relaxed geometry, computed with PBE.

Cell and atoms, written as extended XYZ:
```
15
Lattice="-3.671 -3.283 -6.681 8.131 -1.108 1.233 -5.555 -4.058 5.046" Properties=species:S:1:pos:R:3 pbc="T T T"
U -4.613 -3.670 -0.817
U 1.288 -2.583 3.139
U -0.547 -4.225 -0.201
Na 4.065 -0.554 0.617
Na 0.000 0.000 0.000
Na 2.230 -2.196 -2.724
Se 3.058 -4.853 3.260
Se -2.830 -5.966 -0.669
Se 1.735 -2.483 0.267
Se -2.333 -1.969 -0.351
Se -0.126 -4.145 -3.049
Se 1.238 -6.480 -0.051
Se -0.969 -4.304 2.648
Se -4.152 -3.597 -3.662
Sb -2.777 -2.029 2.523
```

Computed properties:
* calculated volume: 28.06 A^3/atom
* E_tot: -85.33 eV/cell
* formation energy without anion corrections: -1496.9 kJ/mol of formula units
* magnetization: 8.0 μB/f.u.

=====

No. 8
Crystalline Na3USb3Se8 at its relaxed geometry, computed with PBE.

Cell and atoms, written as extended XYZ:
```
15
Lattice="8.343 0.000 0.000 -4.171 7.225 -0.027 0.000 -4.792 7.107" Properties=species:S:1:pos:R:3 pbc="T T T"
Se -2.125 3.654 5.115
Se 2.046 -1.221 1.965
Se 0.000 2.414 1.888
Se 0.000 -0.027 5.129
Se 4.171 2.460 1.951
Se 6.296 -1.221 1.965
Se 4.171 0.019 5.192
Se 2.125 3.654 5.115
Na 2.086 3.613 -0.013
Na -2.086 3.613 -0.013
Na 0.000 0.000 0.000
Sb 4.171 -2.396 3.554
Sb -2.086 1.216 3.540
Sb 2.086 1.216 3.540
U 0.000 -2.396 3.554
```

Computed properties:
* calculated volume: 28.49 A^3/atom
* E_tot: -66.48 eV/cell
* formation energy without anion corrections: -1060.8 kJ/mol of formula units
* magnetization: 2.0 μB/f.u.